1.
Pa2CdBi3 | PBE | optimized geometry

Computed properties:
SG = Immm, No. 71
spin magnetization = 2.32 μB/cell
D(E_F) = 1.8745 states/eV per atom
E_tot = -5.165 eV/atom
relative energy among the computed polymorphs = 0.216 eV per atom
formation energy = 0.093 eV per atom

abc: 4.3640 6.2669 8.0628
angles: 112.87 105.70 90.00
Last column: nearest neighbours and their distance in Å.
Sites, in units of the cell vectors:
Pa 0.6654 0.1654 0.3308  6 Bi 3.13-3.21
Pa 0.3346 0.8346 0.6692  6 Bi 3.13-3.21
Cd 0.0000 0.5000 0.0000  6 Bi 3.13-3.24
Bi 0.3316 0.3316 0.6632  4 Pa 3.13-3.21, 2 Cd 3.24
Bi 0.0000 0.0000 0.0000  2 Cd 3.13, 4 Pa 3.21
Bi 0.6684 0.6684 0.3368  4 Pa 3.13-3.21, 2 Cd 3.24

***

2.
Sr3Ac3Ir | PBE | optimized geometry

Computed properties:
SG = R-3, No. 148
spin magnetization = 0.00 μB/cell
D(E_F) = 1.1607 states/eV per atom
E_tot = -3.989 eV/atom
formation energy = -0.241 eV per atom

abc: 7.3973 7.3973 14.6056
angles: 75.33 75.33 60.00
Last column: nearest neighbours and their distance in Å.
Sites, in units of the cell vectors:
Sr 0.2059 0.8748 0.3749  9 Sr 4.24-4.29, 3 Ac 4.35
Sr 0.5443 0.2059 0.3749  9 Sr 4.24-4.29, 3 Ac 4.35
Sr 0.8748 0.5443 0.3749  9 Sr 4.24-4.29, 3 Ac 4.35
Sr 0.1252 0.4557 0.6251  9 Sr 4.24-4.29, 3 Ac 4.35
Sr 0.4557 0.7941 0.6251  9 Sr 4.24-4.29, 3 Ac 4.35
Sr 0.7941 0.1252 0.6251  9 Sr 4.24-4.29, 3 Ac 4.35
Ac 0.9602 0.2970 0.1185  2 Ir 2.96
Ac 0.6243 0.9602 0.1185  2 Ir 2.96
Ac 0.2970 0.6243 0.1185  2 Ir 2.96
Ac 0.7030 0.3757 0.8815  2 Ir 2.96
Ac 0.3757 0.0398 0.8815  2 Ir 2.96
Ac 0.0398 0.7030 0.8815  2 Ir 2.96
Ir 0.6667 0.6667 0.9998  6 Ac 2.96
Ir 0.3333 0.3333 0.0002  6 Ac 2.96

***

3.
Mg4Zn | PBE | optimized geometry

Computed properties:
SG = I4_1/amd, No. 141
spin magnetization = 0.00 μB/cell
D(E_F) = 0.4097 states/eV per atom
E_tot = -1.459 eV/atom
relative energy among the computed polymorphs = 0.097 eV per atom
formation energy = 0.071 eV per atom

abc: 6.7528 6.7528 6.7528
angles: 106.08 106.08 116.48
Last column: nearest neighbours and their distance in Å.
Sites, in units of the cell vectors:
Mg 0.7289 0.4134 0.3154  2 Zn 2.63-2.82
Mg 0.0980 0.4134 0.6846  2 Zn 2.63-2.82
Mg 0.1634 0.3480 0.1846  2 Zn 2.63-2.82
Mg 0.1634 0.9789 0.8154  2 Zn 2.63-2.82
Mg 0.6520 0.8366 0.8154  2 Zn 2.63-2.82
Mg 0.0211 0.8366 0.1846  2 Zn 2.63-2.82
Mg 0.5866 0.9020 0.3154  2 Zn 2.63-2.82
Mg 0.5866 0.2711 0.6846  2 Zn 2.63-2.82
Zn 0.5000 0.5000 0.0000  8 Mg 2.63-2.82
Zn 0.2500 0.7500 0.5000  8 Mg 2.63-2.82

***

> Which formula does entry 2 have?

Sr3Ac3Ir

***

> Which value of E_tot does entry 1 give?

-5.165 eV/atom

***

Copy entry 3 word for word.
Mg4Zn | PBE | optimized geometry

Computed properties:
SG = I4_1/amd, No. 141
spin magnetization = 0.00 μB/cell
D(E_F) = 0.4097 states/eV per atom
E_tot = -1.459 eV/atom
relative energy among the computed polymorphs = 0.097 eV per atom
formation energy = 0.071 eV per atom

abc: 6.7528 6.7528 6.7528
angles: 106.08 106.08 116.48
Last column: nearest neighbours and their distance in Å.
Sites, in units of the cell vectors:
Mg 0.7289 0.4134 0.3154  2 Zn 2.63-2.82
Mg 0.0980 0.4134 0.6846  2 Zn 2.63-2.82
Mg 0.1634 0.3480 0.1846  2 Zn 2.63-2.82
Mg 0.1634 0.9789 0.8154  2 Zn 2.63-2.82
Mg 0.6520 0.8366 0.8154  2 Zn 2.63-2.82
Mg 0.0211 0.8366 0.1846  2 Zn 2.63-2.82
Mg 0.5866 0.9020 0.3154  2 Zn 2.63-2.82
Mg 0.5866 0.2711 0.6846  2 Zn 2.63-2.82
Zn 0.5000 0.5000 0.0000  8 Mg 2.63-2.82
Zn 0.2500 0.7500 0.5000  8 Mg 2.63-2.82

***

> Which formula does entry 2 have?

Sr3Ac3Ir